Below is KBeO2F after structural relaxation, with properties calculated at the PBE-GGA level.

Properties
Uncorrected formation energy ... -1.463 eV per atom
Total magnetic moment ... 2.00 μB per cell
Theoretical density ... 2.79 g cm⁻³

Cell: 3.4803 3.4803 4.8645 Å, 90.00 90.00 90.00°
Last column: nearest neighbours and their distance in Å.
Space group P4/mmm (No. 123)
Asymmetric unit:
K: 0.0000 0.0000 0.0000 [1 per cell]  4 F 2.46
Be: 0.5000 0.5000 0.5000 [1 per cell]  4 O 1.74
O: 0.0000 0.5000 0.5000 [2 per cell]  2 Be 1.74
F: 0.5000 0.5000 0.0000 [1 per cell]  2 Be 2.43, 4 K 2.46